(1)
NaCd3Au3: optimized geometry, PBE.

Final energy in eV/f.u.: -15.002
Energy relative to the elements in eV per atom: -0.1579
Energy above the most stable polymorph in this dataset in meV/atom: 0.0
ρ in g cm⁻³: 11.3

a = 8.0412 Å, b = 8.0412 Å, c = 6.8303 Å
α = 53.94°, β = 53.94°, γ = 60.00°
Fractional positions:
Na 0.2627 0.2627 0.2120
Na 0.7373 0.7373 0.7880
Cd 0.1272 0.6744 0.2444
Cd 0.9540 0.1272 0.2444
Cd 0.6744 0.9540 0.2444
Cd 0.3256 0.0460 0.7556
Cd 0.0460 0.8728 0.7556
Cd 0.8728 0.3256 0.7556
Au 0.4656 0.6233 0.7384
Au 0.6233 0.1727 0.7384
Au 0.1727 0.4656 0.7384
Au 0.8273 0.5344 0.2616
Au 0.3767 0.8273 0.2616
Au 0.5344 0.3767 0.2616

(2)
La2TbSe2S2: optimized geometry, PBE.

Final energy in eV/f.u.: -42.268
Formation energy from raw total energies in eV per atom: -1.794
ρ in g cm⁻³: 5.5

a = 5.1320 Å, b = 5.1320 Å, c = 8.4112 Å
α = 107.76°, β = 107.76°, γ = 90.00°
Fractional positions:
La 0.3766 0.3766 0.7531
La 0.6234 0.6234 0.2469
Tb 0.0000 0.0000 0.0000
Se 0.1851 0.1851 0.3701
Se 0.8149 0.8149 0.6299
S 0.0000 0.5000 0.0000
S 0.5000 0.0000 0.0000

(3)
La3PPbBr: optimized geometry, PBE.

Final energy in eV/f.u.: -32.568
Formation energy from raw total energies in eV per atom: -1.166
ρ in g cm⁻³: 6.4

a = 4.3304 Å, b = 7.6279 Å, c = 11.8410 Å
α = 102.11°, β = 90.00°, γ = 90.00°
Fractional positions:
La 0.2500 0.7259 0.5041
La 0.7500 0.0430 0.1397
La 0.7500 0.5446 0.1465
La 0.7500 0.2741 0.4959
La 0.2500 0.4554 0.8535
La 0.2500 0.9570 0.8603
P 0.2500 0.7663 0.0590
P 0.7500 0.2337 0.9410
Pb 0.7500 0.6511 0.6962
Pb 0.2500 0.3489 0.3038
Br 0.2500 0.1266 0.6393
Br 0.7500 0.8734 0.3607

(4)
LiOs2Se: optimized geometry, PBE.

Final energy in eV/f.u.: -26.313
Formation energy from raw total energies in eV per atom: 0.386
ρ in g cm⁻³: 13.3

a = 4.7018 Å, b = 4.7018 Å, c = 4.5876 Å
α = 81.71°, β = 81.71°, γ = 35.42°
Fractional positions:
Li 0.2500 0.2500 0.2500
Os 0.0120 0.0120 0.0049
Os 0.4880 0.4880 0.4951
Se 0.7500 0.7500 0.7500

(5)
Ho2Al9Co3: optimized geometry, PBE.

Final energy in eV/f.u.: -72.024
Energy relative to the elements in eV per atom: -0.5620
ρ in g cm⁻³: 5.6

a = 7.4065 Å, b = 7.4065 Å, c = 10.2398 Å
α = 89.89°, β = 111.02°, γ = 120.43°
Fractional positions:
Ho 0.3372 0.2472 0.7502
Ho 0.6628 0.7528 0.2498
Ho 0.9969 0.5870 0.7498
Ho 0.0031 0.4130 0.2502
Al 0.4545 0.9190 0.7476
Al 0.5455 0.0810 0.2524
Al 0.6714 0.7068 0.7524
Al 0.3286 0.2932 0.2476
Al 0.4495 0.6403 0.9290
Al 0.5505 0.3597 0.0710
Al 0.2113 0.5204 0.5710
Al 0.7887 0.4796 0.4290
Al 0.8864 0.1364 0.7500
Al 0.1136 0.8636 0.2500
Al 0.1382 0.9867 0.9534
Al 0.8618 0.0133 0.0466
Al 0.5333 0.1848 0.5466
Al 0.4667 0.8152 0.4534
Al 0.8789 0.8571 0.5682
Al 0.1211 0.1429 0.4318
Al 0.7889 0.3107 0.9318
Al 0.2111 0.6893 0.0682
Co 0.5000 0.0000 0.0000
Co 0.5000 0.5000 0.5000
Co 0.8412 0.1707 0.4987
Co 0.1588 0.8293 0.5013
Co 0.1720 0.3425 0.0013
Co 0.8280 0.6575 0.9987

(6)
TcAg2P: optimized geometry, PBE.

Final energy in eV/f.u.: -20.601
Energy relative to the elements in eV per atom: 0.2194
ρ in g cm⁻³: 8.5

a = 2.8511 Å, b = 2.8511 Å, c = 9.0288 Å
α = 90.00°, β = 90.00°, γ = 113.22°
Fractional positions:
Tc 0.5000 0.5000 0.2815
Ag 0.0000 0.0000 0.0101
Ag 0.5000 0.5000 0.7454
P 0.0000 0.0000 0.4630

The highest final energy belongs to which entry?
NaCd3Au3

The lowest final energy belongs to which entry?
Ho2Al9Co3

Among the records above, which one has the lowest final energy?
Ho2Al9Co3

Among the records above, which one has the highest final energy?
NaCd3Au3